1.
# B7C5

A relaxed structure of B7C5 (PBE, Alexandria).

## Properties
Its crystal system is monoclinic. The value obtained for the formation energy is 0.426 eV/atom.

Cell lengths 4.763, 2.534, 6.876 Å; angles 90.00, 90.05, 90.00 degrees
Fractional positions:
B1 0.000 0.000 0.000
B2 0.050 0.000 0.245
B3 0.183 0.500 0.651
B4 0.233 0.500 0.971
B5 0.369 0.000 0.382
B6 0.538 0.500 0.234
B7 0.856 0.500 0.386
C1 0.379 0.000 0.612
C2 0.551 0.500 0.003
C3 0.688 0.000 0.692
C4 0.693 0.000 0.920
C5 0.847 0.500 0.615

2.
# BC

A relaxed structure of BC (PBE, Alexandria).

## Properties
Its crystal system is monoclinic. The value obtained for the formation energy is 0.303 eV/atom.

Cell lengths 8.413, 8.413, 4.646 Å; angles 105.99, 105.99, 18.29 degrees
Fractional positions:
B1 0.000 0.000 0.000
B2 0.347 0.347 0.658
B3 0.503 0.503 0.456
B4 0.617 0.617 0.908
B5 0.850 0.850 0.159
B6 0.953 0.953 0.594
C1 0.111 0.111 0.076
C2 0.117 0.117 0.397
C3 0.363 0.363 0.006
C4 0.462 0.462 0.091
C5 0.610 0.610 0.554
C6 0.853 0.853 0.497

3.
# B7C5

A relaxed structure of B7C5 (PBE, Alexandria).

## Properties
Its crystal system is monoclinic. The value obtained for the formation energy is 0.368 eV/atom.

Cell lengths 6.547, 6.547, 4.885 Å; angles 100.21, 100.21, 23.67 degrees
Fractional positions:
B1 0.000 0.000 0.000
B2 0.003 0.003 0.425
B3 0.137 0.137 0.937
B4 0.666 0.666 0.367
B5 0.687 0.687 0.800
B6 0.783 0.783 0.163
B7 0.787 0.787 0.583
C1 0.102 0.102 0.261
C2 0.362 0.362 0.163
C3 0.364 0.364 0.652
C4 0.429 0.429 0.938
C5 0.438 0.438 0.446